(1)
The following is a PBE calculation of a relaxed structure of Li2TbDySe4, from Alexandria.

Calculated volume (Å³/atom): 23.41
Uncorrected formation energy (meV per atom): -1697
Uncorrected energy (Ha/atom): -0.1864

```
Li2TbDySe4
1.0
4.0799 0.0000 0.0000
0.0000 7.0619 0.1209
0.0000 -2.4592 6.4572
Se Li Dy Tb
4 2 1 1
Cartesian
2.0400 3.4473 4.9084 Se
0.0000 4.6724 1.7268 Se
2.0400 1.1553 1.6698 Se
0.0000 -0.0697 4.8513 Se
0.0000 2.3013 3.2891 Li
2.0400 -1.2296 3.2286 Li
2.0400 3.5309 0.0605 Dy
0.0000 0.0000 0.0000 Tb
```

---

(2)
The following is a PBE calculation of a relaxed structure of LiTb2DySe4, from Alexandria.

Calculated volume (Å³/atom): 23.65
Uncorrected formation energy (meV per atom): -1750
Uncorrected energy (Ha/atom): -0.2008

```
LiTb2DySe4
1.0
4.0515 0.0000 0.0000
0.0000 7.0308 0.1322
0.0000 -2.4498 6.5953
Tb Se Dy Li
2 4 1 1
Cartesian
2.0257 -1.2249 3.2976 Tb
0.0000 2.2905 3.3637 Tb
0.0000 -0.1280 5.0241 Se
0.0000 4.7090 1.7033 Se
2.0257 1.1152 1.6258 Se
2.0257 3.4658 5.1016 Se
2.0257 3.5154 0.0661 Dy
0.0000 0.0000 0.0000 Li
```

---

(3)
The following is a PBE calculation of a relaxed structure of LiTb2DySe5, from Alexandria.

Calculated volume (Å³/atom): 23.78
Uncorrected formation energy (meV per atom): -1700
Uncorrected energy (Ha/atom): -0.1980

```
LiTb2DySe5
1.0
-3.4364 -0.9738 1.9395
-0.7930 -4.0642 -7.7043
5.5080 -10.0289 4.7235
Li Se Tb Dy
2 10 4 2
Cartesian
0.2049 -9.2654 -4.2892 Li
3.6247 -10.4463 5.4356 Li
-1.8196 -3.2988 -4.8803 Se
-0.8307 -10.3978 -2.4342 Se
-0.9405 -7.4075 -5.3858 Se
0.1886 -1.1718 -0.2543 Se
0.3246 -6.2047 -2.5403 Se
0.3448 -6.7548 1.4777 Se
1.9395 -10.6565 2.3441 Se
-1.8964 -4.0749 -1.1476 Se
2.2184 -9.2501 -0.7141 Se
2.6046 -8.3612 4.6751 Se
-2.6726 -5.9094 -3.4440 Tb
0.9881 -4.0771 -0.2964 Tb
0.7667 -11.8569 -0.3365 Tb
3.2301 -7.8444 1.7843 Tb
-0.4861 -8.2864 -0.7634 Dy
-0.9745 -1.7930 -2.6269 Dy
```

---

(4)
The following is a PBE calculation of a relaxed structure of Li2TbDy3Se6, from Alexandria.

Calculated volume (Å³/atom): 23.35
Uncorrected formation energy (meV per atom): -1733
Uncorrected energy (Ha/atom): -0.1959

```
Li2TbDy3Se6
1.0
-3.4118 5.9071 1.5481
-2.1083 -6.0777 2.7474
5.8422 1.0101 3.7445
Li Se Dy Tb
2 6 3 1
Cartesian
-2.5413 -2.0972 2.3491 Li
-2.9789 1.9267 1.9464 Li
-2.6700 0.1195 4.0959 Se
0.5069 -1.3985 6.2550 Se
0.0642 2.6718 5.8477 Se
0.2579 -1.8322 2.1923 Se
2.9921 0.7201 3.9441 Se
-0.1848 2.2381 1.7850 Se
0.5966 -3.5846 4.4207 Dy
0.1610 0.4198 4.0200 Dy
-0.2745 4.4242 3.6193 Dy
0.0000 0.0000 0.0000 Tb
```

---

(5)
The following is a PBE calculation of a relaxed structure of LiTb3Dy4Se8, from Alexandria.

Calculated volume (Å³/atom): 23.83
Uncorrected formation energy (meV per atom): -1752
Uncorrected energy (Ha/atom): -0.2070

```
LiTb3Dy4Se8
1.0
-7.9379 -1.7899 -0.2213
1.4113 -5.5433 -5.7871
4.0563 -0.3500 7.0492
Se Dy Li Tb
8 4 1 3
Cartesian
-3.5662 -2.9373 1.9604 Se
0.3938 -1.9965 2.0250 Se
1.0958 -4.7460 -0.9195 Se
-1.5855 -3.1096 5.4034 Se
2.4769 -2.1935 5.5167 Se
-4.9473 -5.4897 -4.4758 Se
-2.8641 -5.6867 -0.9841 Se
-0.8848 -4.5737 -4.3626 Se
0.0000 0.0000 0.0000 Dy
-1.9408 -1.0700 3.4139 Dy
-3.9690 -0.8950 -0.1106 Dy
2.0281 -0.1750 3.5246 Dy
0.7056 -2.7717 -2.8935 Li
-3.2633 -3.6666 -3.0042 Tb
2.7338 -2.9467 0.6310 Tb
-1.2352 -3.8416 0.5204 Tb
```

---

(6)
The following is a PBE calculation of a relaxed structure of Li3TbDy2Se6, from Alexandria.

Calculated volume (Å³/atom): 23.37
Uncorrected formation energy (meV per atom): -1698
Uncorrected energy (Ha/atom): -0.1864

```
Li3TbDy2Se6
1.0
-4.8933 4.7706 -1.7695
-1.7094 -6.8393 0.3695
0.6444 1.4173 6.7339
Se Li Tb Dy
6 3 1 2
Cartesian
-1.1690 0.5410 4.6764 Se
-2.0311 1.7799 0.9962 Se
-4.9921 1.4517 3.6223 Se
-0.9662 -2.1030 1.7116 Se
-3.9272 -2.4312 4.3377 Se
-4.7893 -1.1923 0.6575 Se
-1.9184 -4.1935 3.3795 Li
-4.0399 3.5421 1.9544 Li
-2.9792 -0.3257 2.6669 Li
0.0000 0.0000 0.0000 Tb
-2.7707 -2.9691 -0.3436 Dy
-3.8319 0.9004 -1.0565 Dy
```

---

(7)
The following is a PBE calculation of a relaxed structure of Li2DyTeSe4, from Alexandria.

Calculated volume (Å³/atom): 24.30
Uncorrected formation energy (meV per atom): -1003
Uncorrected energy (Ha/atom): -0.1541

```
Li2DyTeSe4
1.0
-3.4525 -0.6123 -7.1828
-5.4057 -5.0957 2.9495
0.4907 7.3429 3.3438
Se Li Dy Te
8 4 2 2
Cartesian
-6.1797 -0.7832 -1.4859 Se
-4.6055 -0.4215 2.0422 Se
-1.4890 5.7795 2.2184 Se
-4.3622 3.2452 3.7248 Se
-6.8784 -4.1445 -3.1079 Se
-2.1877 2.4182 0.5964 Se
-4.0053 -1.6102 -4.6144 Se
-3.7619 2.0565 -2.9317 Se
-4.4291 -2.8539 -2.1167 Li
0.2454 3.6714 1.6719 Li
-1.7263 -0.3061 -3.5914 Li
-1.4809 3.3653 -1.9195 Li
-2.7029 -2.5478 1.4748 Dy
-5.9099 0.5113 -4.0362 Dy
-2.9617 6.7306 -3.8390 Te
-4.1837 0.8175 -0.4447 Te
```

---

(8)
The following is a PBE calculation of a relaxed structure of LiDy4Th3Se8, from Alexandria.

Calculated volume (Å³/atom): 24.69
Uncorrected formation energy (meV per atom): -1639
Uncorrected energy (Ha/atom): -0.2221

```
LiDy4Th3Se8
1.0
8.2162 0.0000 0.0000
0.0000 8.2559 0.0225
-4.1081 -4.1041 5.8126
Th Dy Se Li
3 4 8 1
Cartesian
2.0540 2.0759 2.9175 Th
4.1081 4.1280 0.0112 Th
-2.0540 2.0759 2.9175 Th
-2.0540 -2.0521 2.9063 Dy
0.0000 0.0000 0.0000 Dy
4.1081 0.0000 0.0000 Dy
2.0540 -2.0521 2.9063 Dy
0.0000 -0.0702 2.8540 Se
0.0000 4.2113 2.8665 Se
1.9779 6.1873 0.0674 Se
4.1081 4.2220 2.9811 Se
-2.1302 -2.0355 5.7677 Se
4.1081 -0.0595 2.9685 Se
6.2382 6.1873 0.0674 Se
2.1302 -2.0355 5.7677 Se
0.0000 4.1280 0.0112 Li
```

---

(9)
The following is a PBE calculation of a relaxed structure of Li4DyTh3Se8, from Alexandria.

Calculated volume (Å³/atom): 23.96
Uncorrected formation energy (meV per atom): -1523
Uncorrected energy (Ha/atom): -0.1993

```
Li4DyTh3Se8
1.0
8.1451 0.0000 0.0000
0.0000 8.1659 0.0068
-4.0726 -4.0681 5.7609
Li Se Dy Th
4 8 1 3
Cartesian
0.0000 0.0000 0.0000 Li
4.0726 0.0000 0.0000 Li
-2.0363 -2.0341 2.8805 Li
2.0363 -2.0341 2.8805 Li
1.9961 6.1869 0.0787 Se
6.1490 6.1869 0.0787 Se
4.0726 -0.0953 2.8651 Se
-2.0764 -2.0892 5.6891 Se
4.0726 4.2174 2.9764 Se
0.0000 4.1930 2.9027 Se
2.0764 -2.0892 5.6891 Se
0.0000 -0.1196 2.7914 Se
0.0000 4.0829 0.0034 Dy
2.0363 2.0489 2.8839 Th
-2.0363 2.0489 2.8839 Th
4.0726 4.0829 0.0034 Th
```

---

(10)
The following is a PBE calculation of a relaxed structure of LiDy3Th4Se8, from Alexandria.

Calculated volume (Å³/atom): 24.76
Uncorrected formation energy (meV per atom): -1619
Uncorrected energy (Ha/atom): -0.2278

```
LiDy3Th4Se8
1.0
-5.9907 2.8883 4.4348
-5.6393 -3.5818 -5.2849
5.5313 -4.7095 3.3349
Th Se Dy Li
4 8 3 1
Cartesian
0.0000 0.0000 0.0000 Th
2.7657 -2.3548 1.6675 Th
-0.2297 -0.9106 3.8849 Th
-2.9953 1.4441 2.2174 Th
-6.0431 1.1767 1.9745 Se
-3.2023 -1.2422 3.6875 Se
-0.0556 -6.5797 0.5103 Se
-2.9664 -0.3067 -0.3031 Se
-2.8964 -4.1608 -1.2026 Se
-5.8947 -2.7843 1.0548 Se
-3.1322 -5.0964 2.7879 Se
-0.2039 -2.6188 1.4301 Se
-3.0493 -2.7015 1.2424 Dy
-0.0540 -4.1457 -0.9750 Dy
-5.8150 -0.3468 -0.4250 Dy
-2.8196 -1.7909 -2.6425 Li
```

---

(11)
The following is a PBE calculation of a relaxed structure of Li3Dy2ThSe6, from Alexandria.

Calculated volume (Å³/atom): 23.53
Uncorrected formation energy (meV per atom): -1618
Uncorrected energy (Ha/atom): -0.1920

```
Li3Dy2ThSe6
1.0
-4.9466 4.3722 -2.5074
1.8369 -5.7396 -3.6817
-3.5805 -2.9997 5.1471
Se Li Dy Th
6 3 2 1
Cartesian
-3.8227 -4.9495 -0.9948 Se
-3.2597 -1.8039 -3.2966 Se
-2.8676 0.5823 -0.0472 Se
-3.4306 -2.5632 2.2545 Se
-0.5752 -2.8349 -0.4441 Se
-6.1151 -1.5323 -0.5980 Se
-3.3451 -2.1836 -0.5210 Li
-5.5984 1.1753 -0.1310 Li
-1.0919 -5.5424 -0.9111 Li
-0.4256 -2.3672 -3.2901 Dy
-2.6842 0.9997 -2.8991 Dy
0.0000 0.0000 0.0000 Th
```

---

(12)
The following is a PBE calculation of a relaxed structure of LiDyTh2Se4, from Alexandria.

Calculated volume (Å³/atom): 24.46
Uncorrected formation energy (meV per atom): -1583
Uncorrected energy (Ha/atom): -0.2203

```
LiDyTh2Se4
1.0
-3.0961 2.0637 1.3770
-3.0920 -5.8467 1.8103
4.1322 2.2772 5.8781
Se Th Li Dy
4 2 1 1
Cartesian
-1.3888 0.0741 2.4821 Se
-1.3399 -3.7851 2.6600 Se
2.3801 0.2156 5.0284 Se
-0.6671 -1.5798 6.5833 Se
0.5201 -1.7847 3.8442 Th
0.5180 2.1705 3.6276 Th
-3.0941 -1.8915 1.5936 Li
0.0000 0.0000 0.0000 Dy
```